DFT (PBE) results for an optimized crystal structure of LiTcHg2.

Output
Formation energy (eV per atom): 0.512
Energy above the most stable polymorph in this dataset (kcal/mol of atoms): 8.164
Symmetry: F-43m, No. 216

a = 4.7182 Å, b = 4.7182 Å, c = 4.7182 Å
α = 60.00°, β = 60.00°, γ = 60.00°
Fractional positions:
Hg: 0.0000 0.0000 0.0000
Hg: 0.7500 0.7500 0.7500
Li: 0.5000 0.5000 0.5000
Tc: 0.2500 0.2500 0.2500